# 1
{
  "formula": "HfMn4Re",
  "functional": "PBE",
  "state": "optimized geometry",
  "final_energy_ev_per_cell": -59.82,
  "magmom_total_mub_per_fu": 0.00,
  "relative_energy_ev_per_atom": 0.000,
  "space_group": "F-43m (216)",
  "lattice_angstrom": [[0.0000, 3.3873, 3.3873], [3.3873, 0.0000, 3.3873], [3.3873, 3.3873, 0.0000]],
  "species": ["Hf", "Mn", "Mn", "Mn", "Mn", "Re"],
  "frac_coords": [[0.0000, 0.0000, 0.0000], [0.3733, 0.3733, 0.3733], [0.3733, 0.3733, 0.8801], [0.3733, 0.8801, 0.3733], [0.8801, 0.3733, 0.3733], [0.7500, 0.7500, 0.7500]]
}

# 2
{
  "formula": "HfMn2Re",
  "functional": "PBE",
  "state": "optimized geometry",
  "final_energy_ev_per_cell": -40.92,
  "magmom_total_mub_per_fu": 0.00,
  "relative_energy_ev_per_atom": 0.000,
  "space_group": "Fm-3m (225)",
  "lattice_angstrom": [[0.0000, 3.0431, 3.0431], [3.0431, 0.0000, 3.0431], [3.0431, 3.0431, 0.0000]],
  "species": ["Hf", "Mn", "Mn", "Re"],
  "frac_coords": [[0.0000, 0.0000, 0.0000], [0.2500, 0.2500, 0.2500], [0.7500, 0.7500, 0.7500], [0.5000, 0.5000, 0.5000]]
}

# 3
{
  "formula": "Hf2MnRe",
  "functional": "PBE",
  "state": "optimized geometry",
  "final_energy_ev_per_cell": -78.94,
  "magmom_total_mub_per_fu": 2.75,
  "space_group": "I-42d (122)",
  "lattice_angstrom": [[-3.6004, 3.6004, 2.8598], [3.6004, -3.6004, 2.8598], [3.6004, 3.6004, -2.8598]],
  "species": ["Hf", "Hf", "Hf", "Hf", "Mn", "Mn", "Re", "Re"],
  "frac_coords": [[0.1224, 0.6250, 0.9974], [0.3750, 0.3724, 0.4974], [0.6276, 0.1250, 0.0026], [0.8750, 0.8776, 0.5026], [0.0000, 0.0000, 0.0000], [0.7500, 0.2500, 0.5000], [0.2500, 0.7500, 0.5000], [0.5000, 0.5000, 0.0000]]
}

# 4
{
  "formula": "HfMnReSb2",
  "functional": "PBE",
  "state": "optimized geometry",
  "final_energy_ev_per_cell": -35.20,
  "e_form_raw_ev_per_atom": 0.92,
  "magmom_total_mub_per_fu": 1.11,
  "space_group": "P4/mmm (123)",
  "lattice_angstrom": [[4.8416, 0.0000, 0.0000], [0.0000, 4.8416, 0.0000], [0.0000, 0.0000, 4.5359]],
  "species": ["Hf", "Mn", "Re", "Sb", "Sb"],
  "frac_coords": [[0.0000, 0.0000, 0.0000], [0.5000, 0.5000, 0.5000], [0.5000, 0.5000, 0.0000], [0.0000, 0.5000, 0.5000], [0.5000, 0.0000, 0.5000]]
}

# 5
{
  "formula": "Hf2MnReSe",
  "functional": "PBE",
  "state": "optimized geometry",
  "final_energy_ev_per_cell": -41.66,
  "e_form_raw_ev_per_atom": 0.67,
  "magmom_total_mub_per_fu": 2.25,
  "space_group": "P4/mmm (123)",
  "lattice_angstrom": [[5.1061, 0.0000, 0.0000], [0.0000, 5.1061, 0.0000], [0.0000, 0.0000, 4.4924]],
  "species": ["Hf", "Hf", "Mn", "Re", "Se"],
  "frac_coords": [[0.0000, 0.5000, 0.0000], [0.5000, 0.0000, 0.0000], [0.0000, 0.0000, 0.5000], [0.0000, 0.0000, 0.0000], [0.5000, 0.5000, 0.5000]]
}

# 6
{
  "formula": "HfTaMnRe",
  "functional": "PBE",
  "state": "optimized geometry",
  "final_energy_ev_per_cell": -44.55,
  "magmom_total_mub_per_fu": 0.31,
  "space_group": "F-43m (216)",
  "lattice_angstrom": [[0.0000, 3.1808, 3.1808], [3.1808, 0.0000, 3.1808], [3.1808, 3.1808, 0.0000]],
  "species": ["Hf", "Ta", "Mn", "Re"],
  "frac_coords": [[0.0000, 0.0000, 0.0000], [0.5000, 0.5000, 0.5000], [0.7500, 0.7500, 0.7500], [0.2500, 0.2500, 0.2500]]
}

# 7
{
  "formula": "HfMnReTc",
  "functional": "PBE",
  "state": "optimized geometry",
  "final_energy_ev_per_cell": -42.32,
  "magmom_total_mub_per_fu": 0.01,
  "space_group": "F-43m (216)",
  "lattice_angstrom": [[0.0000, 3.1139, 3.1139], [3.1139, 0.0000, 3.1139], [3.1139, 3.1139, 0.0000]],
  "species": ["Hf", "Mn", "Re", "Tc"],
  "frac_coords": [[0.0000, 0.0000, 0.0000], [0.7500, 0.7500, 0.7500], [0.5000, 0.5000, 0.5000], [0.2500, 0.2500, 0.2500]]
}

# 8
{
  "formula": "HfTiMnRe",
  "functional": "PBE",
  "state": "optimized geometry",
  "final_energy_ev_per_cell": -40.40,
  "magmom_total_mub_per_fu": 1.31,
  "space_group": "F-43m (216)",
  "lattice_angstrom": [[0.0000, 3.1596, 3.1596], [3.1596, 0.0000, 3.1596], [3.1596, 3.1596, 0.0000]],
  "species": ["Hf", "Ti", "Mn", "Re"],
  "frac_coords": [[0.0000, 0.0000, 0.0000], [0.5000, 0.5000, 0.5000], [0.7500, 0.7500, 0.7500], [0.2500, 0.2500, 0.2500]]
}

# 9
{
  "formula": "Hf2MnReW",
  "functional": "PBE",
  "state": "optimized geometry",
  "final_energy_ev_per_cell": -47.77,
  "magmom_total_mub_per_fu": 1.47,
  "space_group": "P4/mmm (123)",
  "lattice_angstrom": [[5.0039, 0.0000, 0.0000], [0.0000, 5.0039, 0.0000], [0.0000, 0.0000, 4.3023]],
  "species": ["Hf", "Hf", "Mn", "Re", "W"],
  "frac_coords": [[0.0000, 0.5000, 0.0000], [0.5000, 0.0000, 0.0000], [0.0000, 0.0000, 0.5000], [0.0000, 0.0000, 0.0000], [0.5000, 0.5000, 0.5000]]
}

# 10
{
  "formula": "HfMn2ReW",
  "functional": "PBE",
  "state": "optimized geometry",
  "final_energy_ev_per_cell": -44.43,
  "magmom_total_mub_per_fu": 0.02,
  "space_group": "P4/mmm (123)",
  "lattice_angstrom": [[4.3410, 0.0000, 0.0000], [0.0000, 4.3410, 0.0000], [0.0000, 0.0000, 4.9552]],
  "species": ["Hf", "Mn", "Mn", "Re", "W"],
  "frac_coords": [[0.0000, 0.0000, 0.0000], [0.0000, 0.5000, 0.5000], [0.5000, 0.0000, 0.5000], [0.5000, 0.5000, 0.0000], [0.0000, 0.0000, 0.5000]]
}

# 11
{
  "formula": "Hf2MnZnRe",
  "functional": "PBE",
  "state": "optimized geometry",
  "final_energy_ev_per_cell": -39.67,
  "magmom_total_mub_per_fu": 0.00,
  "space_group": "P4/mmm (123)",
  "lattice_angstrom": [[4.7886, 0.0000, 0.0000], [0.0000, 4.7886, 0.0000], [0.0000, 0.0000, 4.3562]],
  "species": ["Hf", "Hf", "Mn", "Zn", "Re"],
  "frac_coords": [[0.0000, 0.5000, 0.0000], [0.5000, 0.0000, 0.0000], [0.0000, 0.0000, 0.0000], [0.5000, 0.5000, 0.5000], [0.0000, 0.0000, 0.5000]]
}

# 12
{
  "formula": "Hf4Mn3Rh",
  "functional": "PBE",
  "state": "optimized geometry",
  "final_energy_ev_per_cell": -77.49,
  "magmom_total_mub_per_fu": 1.49,
  "space_group": "Pmmm (47)",
  "lattice_angstrom": [[3.2029, 0.0000, 0.0000], [0.0000, 4.5244, 0.0000], [0.0000, 0.0000, 8.9381]],
  "species": ["Hf", "Hf", "Hf", "Hf", "Mn", "Mn", "Mn", "Rh"],
  "frac_coords": [[0.0000, 0.0000, 0.0000], [0.0000, 0.0000, 0.5000], [0.0000, 0.5000, 0.2417], [0.0000, 0.5000, 0.7583], [0.5000, 0.0000, 0.2498], [0.5000, 0.0000, 0.7502], [0.5000, 0.5000, 0.0000], [0.5000, 0.5000, 0.5000]]
}

# 13
{
  "formula": "Hf6MnRh",
  "functional": "PBE",
  "state": "optimized geometry",
  "final_energy_ev_per_cell": -75.39,
  "magmom_total_mub_per_fu": 0.00,
  "space_group": "C2/m (12)",
  "lattice_angstrom": [[2.9994, -5.1455, 0.0000], [2.9994, 5.1455, 0.0000], [-2.6533, 0.0000, 5.4091]],
  "species": ["Hf", "Hf", "Hf", "Hf", "Hf", "Hf", "Mn", "Rh"],
  "frac_coords": [[0.0446, 0.4403, 0.2435], [0.2436, 0.2436, 0.7581], [0.4403, 0.0446, 0.2435], [0.5597, 0.9554, 0.7565], [0.7564, 0.7564, 0.2419], [0.9554, 0.5597, 0.7565], [0.0000, 0.0000, 0.0000], [0.5000, 0.5000, 0.5000]]
}

# 14
{
  "formula": "Hf6MnRh5",
  "functional": "PBE",
  "state": "optimized geometry",
  "final_energy_ev_per_cell": -114.89,
  "magmom_total_mub_per_fu": 0.00,
  "space_group": "Immm (71)",
  "lattice_angstrom": [[-2.2983, 3.2482, 6.8978], [2.2983, -3.2482, 6.8978], [2.2983, 3.2482, -6.8978]],
  "species": ["Hf", "Hf", "Hf", "Hf", "Hf", "Hf", "Mn", "Rh", "Rh", "Rh", "Rh", "Rh"],
  "frac_coords": [[0.0839, 0.3363, 0.7476], [0.2451, 0.0000, 0.2451], [0.4113, 0.6637, 0.7476], [0.5887, 0.3363, 0.2524], [0.7549, 0.0000, 0.7549], [0.9161, 0.6637, 0.2524], [0.0000, 0.5000, 0.5000], [0.1649, 0.1649, 0.0000], [0.3295, 0.8295, 0.5000], [0.5000, 0.5000, 0.0000], [0.6705, 0.1705, 0.5000], [0.8351, 0.8351, 0.0000]]
}

# 15
{
  "formula": "Hf3Mn2Rh",
  "functional": "PBE",
  "state": "optimized geometry",
  "final_energy_ev_per_cell": -58.18,
  "magmom_total_mub_per_fu": 0.64,
  "space_group": "P4/mmm (123)",
  "lattice_angstrom": [[3.1878, 0.0000, 0.0000], [0.0000, 3.1878, 0.0000], [0.0000, 0.0000, 9.6033]],
  "species": ["Hf", "Hf", "Hf", "Mn", "Mn", "Rh"],
  "frac_coords": [[0.0000, 0.0000, 0.0000], [0.0000, 0.0000, 0.3232], [0.0000, 0.0000, 0.6768], [0.5000, 0.5000, 0.1674], [0.5000, 0.5000, 0.8326], [0.5000, 0.5000, 0.5000]]
}

# 16
{
  "formula": "HfMn3Rh",
  "functional": "PBE",
  "state": "optimized geometry",
  "final_energy_ev_per_cell": -40.28,
  "magmom_total_mub_per_fu": 10.80,
  "relative_energy_ev_per_atom": 0.000,
  "space_group": "Pm-3m (221)",
  "lattice_angstrom": [[4.6571, 0.0000, 0.0000], [0.0000, 4.6571, 0.0000], [0.0000, 0.0000, 4.6571]],
  "species": ["Hf", "Mn", "Mn", "Mn", "Rh"],
  "frac_coords": [[0.0000, 0.0000, 0.0000], [0.0000, 0.5000, 0.5000], [0.5000, 0.0000, 0.5000], [0.5000, 0.5000, 0.0000], [0.5000, 0.5000, 0.5000]]
}

# 17
{
  "formula": "HfMn3Rh",
  "functional": "PBE",
  "state": "optimized geometry",
  "final_energy_ev_per_cell": -34.81,
  "magmom_total_mub_per_fu": 0.00,
  "relative_energy_ev_per_atom": 1.092,
  "space_group": "Pm-3m (221)",
  "lattice_angstrom": [[4.3812, 0.0000, 0.0000], [0.0000, 4.3812, 0.0000], [0.0000, 0.0000, 4.3812]],
  "species": ["Hf", "Mn", "Mn", "Mn", "Rh"],
  "frac_coords": [[0.0000, 0.0000, 0.0000], [0.0000, 0.0000, 0.5000], [0.0000, 0.5000, 0.0000], [0.5000, 0.0000, 0.0000], [0.5000, 0.5000, 0.5000]]
}

# 18
{
  "formula": "HfMnRh2",
  "functional": "PBE",
  "state": "optimized geometry",
  "final_energy_ev_per_cell": -66.52,
  "magmom_total_mub_per_fu": 0.00,
  "space_group": "I-42d (122)",
  "lattice_angstrom": [[-1.9445, 1.9445, 8.6330], [1.9445, -1.9445, 8.6330], [1.9445, 1.9445, -8.6330]],
  "species": ["Hf", "Hf", "Mn", "Mn", "Rh", "Rh", "Rh", "Rh"],
  "frac_coords": [[0.0000, 0.0000, 0.0000], [0.7500, 0.2500, 0.5000], [0.2500, 0.7500, 0.5000], [0.5000, 0.5000, 0.0000], [0.1523, 0.6250, 0.0273], [0.3750, 0.4023, 0.5273], [0.5977, 0.1250, 0.9727], [0.8750, 0.8477, 0.4727]]
}

# 19
{
  "formula": "Hf5MnRh4",
  "functional": "PBE",
  "state": "optimized geometry",
  "final_energy_ev_per_cell": -95.91,
  "magmom_total_mub_per_fu": 0.00,
  "space_group": "P4/mmm (123)",
  "lattice_angstrom": [[3.2571, 0.0000, 0.0000], [0.0000, 3.2571, 0.0000], [0.0000, 0.0000, 16.1187]],
  "species": ["Hf", "Hf", "Hf", "Hf", "Hf", "Mn", "Rh", "Rh", "Rh", "Rh"],
  "frac_coords": [[0.0000, 0.0000, 0.0000], [0.0000, 0.0000, 0.2026], [0.0000, 0.0000, 0.4060], [0.0000, 0.0000, 0.5940], [0.0000, 0.0000, 0.7974], [0.5000, 0.5000, 0.5000], [0.5000, 0.5000, 0.1019], [0.5000, 0.5000, 0.3009], [0.5000, 0.5000, 0.6991], [0.5000, 0.5000, 0.8981]]
}

# 20
{
  "formula": "Hf6Mn2Rh",
  "functional": "PBE",
  "state": "optimized geometry",
  "final_energy_ev_per_cell": -175.46,
  "magmom_total_mub_per_fu": 0.00,
  "space_group": "Immm (71)",
  "lattice_angstrom": [[-4.2501, 4.4197, 4.5038], [4.2501, -4.4197, 4.5038], [4.2501, 4.4197, -4.5038]],
  "species": ["Hf", "Hf", "Hf", "Hf", "Hf", "Hf", "Hf", "Hf", "Hf", "Hf", "Hf", "Hf", "Mn", "Mn", "Mn", "Mn", "Rh", "Rh"],
  "frac_coords": [[0.0265, 0.2092, 0.8172], [0.2460, 0.3011, 0.5471], [0.2460, 0.6989, 0.9449], [0.2717, 0.5854, 0.3136], [0.2717, 0.9581, 0.6864], [0.3920, 0.2092, 0.1828], [0.6080, 0.7908, 0.8172], [0.7283, 0.0419, 0.3136], [0.7283, 0.4146, 0.6864], [0.7540, 0.3011, 0.0551], [0.7540, 0.6989, 0.4529], [0.9735, 0.7908, 0.1828], [0.0000, 0.1322, 0.1322], [0.0000, 0.8678, 0.8678], [0.3861, 0.0000, 0.3861], [0.6139, 0.0000, 0.6139], [0.0000, 0.5000, 0.5000], [0.5000, 0.5000, 0.0000]]
}